Density functional theory data (PBEsol) for a geometry-optimized Y2TaCo structure.

Output
As for the energy of formation: 0.0392 eV per atom.

Cell lengths 3.176, 3.176, 8.428 Å; angles 90.00, 90.00, 90.00 degrees
Space group P4mm (No. 99)
Inequivalent atoms, fractional coordinates:
Y  0.000  0.000  0.000 [1 per cell]
Y  0.500  0.500  0.364 [1 per cell]
Ta  0.500  0.500  0.735 [1 per cell]
Co  0.000  0.000  0.599 [1 per cell]

=====

Density functional theory data (PBEsol) for a geometry-optimized YTa2Co structure.

Output
The offset from the most stable computed form is 4.6 kJ per mole of atoms. As for the energy of formation: 0.2024 eV per atom.

Cell lengths 3.049, 3.049, 7.669 Å; angles 90.00, 90.00, 90.00 degrees
Space group P4/mmm (No. 123)
Inequivalent atoms, fractional coordinates:
Y  0.000  0.000  0.000 [1 per cell]
Ta  0.500  0.500  0.308 [2 per cell]
Co  0.000  0.000  0.500 [1 per cell]

=====

Density functional theory data (PBEsol) for a geometry-optimized YTa2Co structure.

Output
The offset from the most stable computed form is 0.0 kJ per mole of atoms. As for the energy of formation: 0.1550 eV per atom.

Cell lengths 3.228, 4.484, 9.774 Å; angles 90.00, 90.00, 90.00 degrees
Space group Immm (No. 71)
Inequivalent atoms, fractional coordinates:
Y  0.000  0.000  0.000 [2 per cell]
Ta  0.000  0.500  0.230 [4 per cell]
Co  0.000  0.000  0.500 [2 per cell]

=====

Density functional theory data (PBEsol) for a geometry-optimized TaZnCo structure.

Output
As for the energy of formation: -0.0698 eV per atom.

Cell lengths 2.921, 2.921, 9.536 Å; angles 90.00, 90.00, 90.00 degrees
Space group I4mm (No. 107)
Inequivalent atoms, fractional coordinates:
Ta  0.000  0.000  0.000 [2 per cell]
Zn  0.000  0.000  0.698 [2 per cell]
Co  0.000  0.000  0.345 [2 per cell]

=====

Density functional theory data (PBEsol) for a geometry-optimized TaZnCo2 structure.

Output
As for the energy of formation: -0.2108 eV per atom.

Cell lengths 3.032, 3.032, 5.476 Å; angles 90.00, 90.00, 90.00 degrees
Space group P4/mmm (No. 123)
Inequivalent atoms, fractional coordinates:
Ta  0.000  0.000  0.000 [1 per cell]
Zn  0.000  0.000  0.500 [1 per cell]
Co  0.500  0.500  0.252 [2 per cell]

=====

Density functional theory data (PBEsol) for a geometry-optimized TaZnCo2 structure.

Output
As for the energy of formation: 0.1198 eV per atom.

Cell lengths 5.891, 5.891, 5.891 Å; angles 90.00, 90.00, 90.00 degrees
Space group F-43m (No. 216)
Inequivalent atoms, fractional coordinates:
Ta  0.000  0.000  0.000 [4 per cell]
Zn  0.250  0.250  0.750 [4 per cell]
Co  0.000  0.000  0.500 [4 per cell]
Co  0.250  0.250  0.250 [4 per cell]

=====

Density functional theory data (PBEsol) for a geometry-optimized TaZnCo2 structure.

Output
As for the energy of formation: -0.1427 eV per atom.

Cell lengths 3.515, 3.515, 8.021 Å; angles 90.00, 90.00, 90.00 degrees
Space group I-4m2 (No. 119)
Inequivalent atoms, fractional coordinates:
Ta  0.000  0.000  0.000 [2 per cell]
Zn  0.000  0.500  0.750 [2 per cell]
Co  0.000  0.000  0.500 [2 per cell]
Co  0.000  0.500  0.250 [2 per cell]

=====

Density functional theory data (PBEsol) for a geometry-optimized ZrTa2Co structure.

Output
The offset from the most stable computed form is 0.0 kJ per mole of atoms. As for the energy of formation: 0.1295 eV per atom.

Cell lengths 2.886, 4.378, 5.338 Å; angles 90.00, 100.90, 90.00 degrees
Space group Pm (No. 6)
Inequivalent atoms, fractional coordinates:
Zr  0.000  0.000  0.000 [1 per cell]
Ta  0.263  0.500  0.723 [1 per cell]
Ta  0.525  0.000  0.484 [1 per cell]
Co  0.757  0.500  0.249 [1 per cell]